Material: CeCuNiGe2
Method: DFT, PBE
State: relaxed

The structure in POSCAR format:
```
CeCuNiGe2
1.0
-2.071 2.071 4.982
2.071 -2.071 4.982
2.071 2.071 -4.982
Ce Cu Ni Ge
1 1 1 2
Direct
0.000 0.000 0.000
0.250 0.750 0.500
0.750 0.250 0.500
0.374 0.374 0.000
0.626 0.626 0.000
```

Computed properties:
total DFT energy (no corrections)	-5.59	eV per atom
energy relative to the elements	-585	meV per atom


Material: Li3Ac4Sn5
Method: DFT, PBE
State: relaxed

The structure in POSCAR format:
```
Li3Ac4Sn5
1.0
6.355 -2.547 0.000
6.355 2.547 0.000
-6.297 0.000 11.237
Li Ac Sn
3 4 5
Direct
0.000 0.000 0.000
0.425 0.425 0.761
0.575 0.575 0.239
0.145 0.145 0.508
0.188 0.188 0.846
0.812 0.812 0.154
0.855 0.855 0.492
0.184 0.184 0.260
0.448 0.448 0.362
0.500 0.500 0.000
0.552 0.552 0.638
0.816 0.816 0.740
```

Computed properties:
total DFT energy (no corrections)	-3.94	eV per atom
energy relative to the elements	-423	meV per atom


Material: LaMg2CuSe4
Method: DFT, PBE
State: relaxed

The structure in POSCAR format:
```
LaMg2CuSe4
1.0
2.013 -6.556 0.000
2.013 6.556 0.000
0.000 0.000 13.593
La Mg Cu Se
2 4 2 8
Direct
0.123 0.877 0.750
0.877 0.123 0.250
0.375 0.625 0.560
0.375 0.625 0.940
0.625 0.375 0.060
0.625 0.375 0.440
0.151 0.849 0.250
0.849 0.151 0.750
0.000 0.000 0.000
0.000 0.000 0.500
0.273 0.727 0.114
0.273 0.727 0.386
0.452 0.548 0.750
0.548 0.452 0.250
0.727 0.273 0.614
0.727 0.273 0.886
```

Computed properties:
E_form (uncorrected)	-1.25	eV per atom
total DFT energy (no corrections)	-4.52	eV per atom


Material: SnBi3Pt3
Method: DFT, PBE
State: relaxed

The structure in POSCAR format:
```
SnBi3Pt3
1.0
3.617 -6.571 0.000
3.617 6.571 0.000
-1.740 0.000 7.136
Sn Bi Pt
2 6 6
Direct
0.223 0.223 0.017
0.777 0.777 0.983
0.197 0.803 0.500
0.259 0.741 0.000
0.358 0.358 0.630
0.642 0.642 0.370
0.741 0.259 0.000
0.803 0.197 0.500
0.032 0.032 0.312
0.150 0.454 0.258
0.454 0.150 0.258
0.546 0.850 0.742
0.850 0.546 0.742
0.968 0.968 0.688
```

Computed properties:
total DFT energy (no corrections)	-5.05	eV per atom
energy relative to the elements	-221	meV per atom


Material: SrCaMgSi2O7
Method: DFT, PBE
State: relaxed

The structure in POSCAR format:
```
SrCaMgSi2O7
1.0
5.139 0.000 0.000
0.000 8.042 0.000
-0.167 0.000 7.974
Sr Ca Mg Si O
2 2 2 4 14
Direct
0.014 0.000 0.087
0.986 0.500 0.913
0.009 0.847 0.585
0.991 0.347 0.415
0.496 0.167 0.746
0.504 0.667 0.254
0.428 0.523 0.602
0.445 0.804 0.881
0.555 0.304 0.119
0.572 0.023 0.398
0.240 0.304 0.120
0.258 0.014 0.399
0.278 0.583 0.429
0.281 0.351 0.660
0.295 0.975 0.820
0.311 0.746 0.057
0.325 0.665 0.741
0.675 0.165 0.259
0.689 0.246 0.943
0.705 0.475 0.180
0.719 0.851 0.340
0.722 0.083 0.571
0.742 0.514 0.601
0.760 0.804 0.880
```

Computed properties:
E_form (uncorrected)	-2.98	eV per atom
total DFT energy (no corrections)	-7.22	eV per atom


Material: SrTa2Re
Method: DFT, PBE
State: relaxed

The structure in POSCAR format:
```
SrTa2Re
1.0
-2.407 2.407 3.424
2.407 -2.407 3.424
2.407 2.407 -3.424
Sr Ta Re
1 2 1
Direct
0.000 0.000 0.000
0.250 0.750 0.500
0.500 0.500 0.000
0.750 0.250 0.500
```

Computed properties:
total DFT energy (no corrections)	-8.47	eV per atom
energy relative to the elements	988	meV per atom